1.
## Tl2Sb2Pd (GGA-PBEsol)

Data for Tl2Sb2Pd after structural relaxation.

Structure (POSCAR):
```
Tl2Sb2Pd
1.0
-2.002 2.002 8.632
2.002 -2.002 8.632
2.002 2.002 -8.632
Tl Sb Pd
2 2 1
Direct
0.086 0.086 0.000
0.914 0.914 0.000
0.250 0.750 0.500
0.750 0.250 0.500
0.500 0.500 0.000
```

M_tot (Bohr magnetons per cell): 0.00
Energy relative to the elements, uncorrected (eV/atom): 0.33
Mass density (g/cm³): 9.11



2.
## TmSbPd2 (GGA-PBEsol)

Data for TmSbPd2 after structural relaxation.

Structure (POSCAR):
```
TmSbPd2
1.0
0.000 3.328 3.328
3.328 0.000 3.328
3.328 3.328 0.000
Tm Sb Pd
1 1 2
Direct
0.000 0.000 0.000
0.500 0.500 0.500
0.250 0.250 0.250
0.750 0.750 0.750
```

M_tot (Bohr magnetons per cell): 0.00
Energy relative to the elements, uncorrected (eV/atom): -0.89
Mass density (g/cm³): 11.35



3.
## Tm3Sb4Pd8 (GGA-PBEsol)

Data for Tm3Sb4Pd8 after structural relaxation.

Structure (POSCAR):
```
Tm3Sb4Pd8
1.0
0.000 6.494 6.494
6.494 0.000 6.494
6.494 6.494 0.000
Tm Sb Pd
6 8 16
Direct
0.225 0.225 0.775
0.225 0.775 0.225
0.225 0.775 0.775
0.775 0.225 0.225
0.775 0.225 0.775
0.775 0.775 0.225
0.000 0.000 0.000
0.000 0.000 0.500
0.000 0.500 0.000
0.000 0.500 0.500
0.500 0.000 0.000
0.500 0.000 0.500
0.500 0.500 0.000
0.500 0.500 0.500
0.144 0.619 0.619
0.166 0.166 0.166
0.166 0.166 0.501
0.166 0.501 0.166
0.381 0.381 0.381
0.381 0.381 0.856
0.381 0.856 0.381
0.499 0.834 0.834
0.501 0.166 0.166
0.619 0.144 0.619
0.619 0.619 0.144
0.619 0.619 0.619
0.834 0.499 0.834
0.834 0.834 0.499
0.834 0.834 0.834
0.856 0.381 0.381
```

M_tot (Bohr magnetons per cell): 0.00
Energy relative to the elements, uncorrected (eV/atom): -0.85
Mass density (g/cm³): 11.19



4.
## Sb2Pd2W (GGA-PBEsol)

Data for Sb2Pd2W after structural relaxation.

Structure (POSCAR):
```
Sb2Pd2W
1.0
-2.064 2.064 5.894
2.064 -2.064 5.894
2.064 2.064 -5.894
Sb Pd W
2 2 1
Direct
0.250 0.750 0.500
0.750 0.250 0.500
0.106 0.106 0.000
0.894 0.894 0.000
0.500 0.500 0.000
```

M_tot (Bohr magnetons per cell): 2.31
Energy relative to the elements, uncorrected (eV/atom): 0.85
Mass density (g/cm³): 10.58



5.
## Y2SbPd2 (GGA-PBEsol)

Data for Y2SbPd2 after structural relaxation.

Structure (POSCAR):
```
Y2SbPd2
1.0
7.490 0.000 0.000
0.000 7.490 0.000
0.000 0.000 3.795
Y Sb Pd
4 2 4
Direct
0.174 0.326 0.000
0.326 0.826 0.000
0.674 0.174 0.000
0.826 0.674 0.000
0.000 0.000 0.500
0.500 0.500 0.500
0.127 0.627 0.500
0.373 0.127 0.500
0.627 0.873 0.500
0.873 0.373 0.500
```

M_tot (Bohr magnetons per cell): 0.00
Energy relative to the elements, uncorrected (eV/atom): -0.97
Mass density (g/cm³): 7.99



6.
## Zr3SbPd (GGA-PBEsol)

Data for Zr3SbPd after structural relaxation.

Structure (POSCAR):
```
Zr3SbPd
1.0
5.159 0.000 0.000
0.000 5.159 0.000
0.000 0.000 5.159
Zr Sb Pd
3 1 1
Direct
0.000 0.000 0.500
0.000 0.500 0.000
0.500 0.000 0.000
0.000 0.000 0.000
0.500 0.500 0.500
```

M_tot (Bohr magnetons per cell): 0.00
Energy relative to the elements, uncorrected (eV/atom): 0.88
Mass density (g/cm³): 6.07



7.
## Zr2SbPd2 (GGA-PBEsol)

Data for Zr2SbPd2 after structural relaxation.

Structure (POSCAR):
```
Zr2SbPd2
1.0
7.166 0.000 0.000
0.000 7.166 0.000
0.000 0.000 3.693
Zr Sb Pd
4 2 4
Direct
0.169 0.331 0.000
0.331 0.831 0.000
0.669 0.169 0.000
0.831 0.669 0.000
0.000 0.000 0.500
0.500 0.500 0.500
0.130 0.630 0.500
0.370 0.130 0.500
0.630 0.870 0.500
0.870 0.370 0.500
```

M_tot (Bohr magnetons per cell): 0.00
Energy relative to the elements, uncorrected (eV/atom): -0.70
Mass density (g/cm³): 9.06



8.
## Zr2Sb3Pd (GGA-PBEsol)

Data for Zr2Sb3Pd after structural relaxation.

Structure (POSCAR):
```
Zr2Sb3Pd
1.0
3.911 0.000 0.000
0.000 3.911 0.000
0.000 0.000 8.532
Zr Sb Pd
2 3 1
Direct
0.000 0.500 0.239
0.500 0.000 0.761
0.000 0.500 0.880
0.500 0.000 0.120
0.500 0.500 0.500
0.000 0.000 0.500
```

M_tot (Bohr magnetons per cell): 0.00
Energy relative to the elements, uncorrected (eV/atom): -0.65
Mass density (g/cm³): 8.32



For each record above, in turn, the calculated uncorrected energy values are -3.738, -6.232, -6.226, -6.113, -6.994, -6.673, -7.633, -6.953 eV/atom.